Entry 1:
! HfScC3 (meta-GGA SCAN, single point on PBEsol structure); values from VASP
! * ΔH_f (0 K): 564.5 kJ/mol of formula units
! * DOS(E_F): 0.5592 states/eV/atom
&SYSTEM
  ibrav = 0, nat = 5, ntyp = 3
/
ATOMIC_SPECIES
Hf 178.49 Hf.upf
Sc 44.96 Sc.upf
C 12.01 C.upf
CELL_PARAMETERS angstrom
4.1453 0.0000 0.0000
0.0000 4.1453 0.0000
0.0000 0.0000 4.1453
ATOMIC_POSITIONS angstrom
Hf 0.0000 0.0000 0.0000
Sc 2.0726 2.0726 2.0726
C 0.0000 0.0000 2.0726
C 0.0000 2.0726 0.0000
C 2.0726 0.0000 0.0000

***

Entry 2:
! HfC3Se (meta-GGA SCAN, single point on PBEsol structure); values from VASP
! * uncorrected formation energy: 2.392 eV/atom
! * DOS(E_F): 0.7055 states/eV/atom
&SYSTEM
  ibrav = 0, nat = 5, ntyp = 3
/
ATOMIC_SPECIES
Hf 178.49 Hf.upf
C 12.01 C.upf
Se 78.96 Se.upf
CELL_PARAMETERS angstrom
4.2861 0.0000 0.0000
0.0000 4.2861 0.0000
0.0000 0.0000 4.2861
ATOMIC_POSITIONS angstrom
Hf 0.0000 0.0000 0.0000
C 0.0000 0.0000 2.1430
C 0.0000 2.1430 0.0000
C 2.1430 0.0000 0.0000
Se 2.1430 2.1430 2.1430

***

Entry 3:
! HfTcC2Se (meta-GGA SCAN, single point on PBEsol structure); values from VASP
! * uncorrected formation energy: 2.049 eV/atom
! * DOS(E_F): 0.6866 states/eV/atom
&SYSTEM
  ibrav = 0, nat = 5, ntyp = 4
/
ATOMIC_SPECIES
Hf 178.49 Hf.upf
Tc 98.00 Tc.upf
C 12.01 C.upf
Se 78.96 Se.upf
CELL_PARAMETERS angstrom
4.1199 0.0000 0.0000
0.0000 4.1199 0.0000
0.0000 0.0000 5.1831
ATOMIC_POSITIONS angstrom
Hf 0.0000 0.0000 0.0000
Tc 0.0000 0.0000 2.5916
C 0.0000 2.0600 0.0000
C 2.0600 0.0000 0.0000
Se 2.0600 2.0600 2.5916

***

The lowest DOS(E_F) belongs to which entry? HfScC3

***

Look up the DOS(E_F) of the third one. 0.6866 states/eV/atom

***

The lowest DOS(E_F) belongs to which entry? HfScC3

***

What is the DOS(E_F) in the third record? 0.6866 states/eV/atom